Version a
{
  "formula": "NdPuHg4",
  "functional": "PBE",
  "state": "relaxed",
  "lattice": [[6.0226, 0.0000, 0.0000], [3.0113, 5.2157, 0.0000], [3.0113, 1.7386, 4.9174]],
  "species": ["Hg", "Hg", "Hg", "Hg", "Nd", "Pu"],
  "fractional_positions": [[0.6251, 0.6251, 0.1247], [0.1247, 0.6251, 0.6251], [0.6251, 0.1247, 0.6251], [0.6251, 0.6251, 0.6251], [0.0000, 0.0000, 0.0000], [0.2500, 0.2500, 0.2500]],
  "n_ef_per_ev_cell": 15.114,
  "spacegroup": "No. 216"
}

***

Version b
{
  "formula": "NdPuHg4",
  "functional": "PBE",
  "state": "relaxed",
  "lattice": [[3.1342, -1.0304, -0.0065], [-1.5335, 5.8920, -0.0136], [0.0269, 0.0280, 8.8615]],
  "species": ["Hg", "Hg", "Hg", "Hg", "Pu", "Nd"],
  "fractional_positions": [[0.5012, 0.9973, 0.1657], [0.0016, 0.4974, 0.3325], [0.5006, 0.9972, 0.8306], [0.0019, 0.4973, 0.6638], [0.0018, 0.9974, 0.4982], [0.5008, 0.4972, 0.9981]],
  "n_ef_per_ev_cell": 11.314,
  "spacegroup": "No. 47"
}

***

Which of them is the most stable? Correct choice: version b.

***

Version a
{
  "formula": "NdPuHg",
  "functional": "PBE",
  "state": "relaxed",
  "lattice": [[-2.6702, -1.9792, 1.4172], [0.7248, -2.6546, -2.3416], [5.2641, -0.3538, 4.8182]],
  "species": ["Pu", "Nd", "Hg"],
  "fractional_positions": [[0.3209, 0.3209, 0.6418], [0.0111, 0.0111, 0.0221], [0.6681, 0.6681, 0.3361]],
  "n_ef_per_ev_cell": 8.201,
  "spacegroup": "No. 107"
}

***

Version b
{
  "formula": "NdPuHg",
  "functional": "PBE",
  "state": "relaxed",
  "lattice": [[-0.1674, 3.4251, 1.1722], [-5.4290, -1.9009, -0.8232], [3.1893, -2.5436, 7.8873]],
  "species": ["Nd", "Nd", "Hg", "Hg", "Pu", "Pu"],
  "fractional_positions": [[0.3918, 0.7835, 0.7405], [0.6082, 0.2165, 0.2595], [0.3676, 0.7351, 0.3652], [0.6324, 0.2649, 0.6348], [0.8192, 0.6384, 0.0146], [0.1808, 0.3616, 0.9854]],
  "n_ef_per_ev_cell": 10.930,
  "spacegroup": "No. 12"
}

***

Which of them is the most stable? Correct choice: version a.

***

Version a
{
  "formula": "NdPuHg2",
  "functional": "PBE",
  "state": "relaxed",
  "lattice": [[-0.4480, 5.3607, 0.0952], [-4.2460, 2.3030, 2.3694], [0.6227, 2.6697, 4.6294]],
  "species": ["Nd", "Hg", "Hg", "Pu"],
  "fractional_positions": [[0.5000, 0.5000, 0.5000], [0.2500, 0.2500, 0.2500], [0.7500, 0.7500, 0.7500], [0.0000, 0.0000, 0.0000]],
  "n_ef_per_ev_cell": 11.711,
  "spacegroup": "No. 225"
}

***

Version b
{
  "formula": "NdPuHg2",
  "functional": "PBE",
  "state": "relaxed",
  "lattice": [[3.8203, 0.0000, 0.0000], [0.0000, 5.3714, 0.0000], [0.0000, 0.0000, 5.3714]],
  "species": ["Pu", "Hg", "Hg", "Nd"],
  "fractional_positions": [[0.5000, 0.5000, 0.5000], [0.0000, 0.5000, 0.0000], [0.0000, 0.0000, 0.5000], [0.5000, 0.0000, 0.0000]],
  "n_ef_per_ev_cell": 11.006,
  "spacegroup": "No. 123"
}

***

Which of them is the most stable? Correct choice: version b.

***

Version a
{
  "formula": "NdPu2Hg3",
  "functional": "PBE",
  "state": "relaxed",
  "lattice": [[-1.3874, 0.2607, -5.1734], [4.8378, -1.8505, 1.3886], [-2.4230, -6.0768, 0.3436]],
  "species": ["Pu", "Pu", "Hg", "Hg", "Hg", "Nd"],
  "fractional_positions": [[0.6667, 0.3333, 0.3549], [0.3333, 0.6667, 0.6451], [0.3333, 0.6667, 0.1529], [0.6667, 0.3333, 0.8471], [0.0000, 0.0000, 0.5000], [0.0000, 0.0000, 0.0000]],
  "n_ef_per_ev_cell": 19.154,
  "spacegroup": "No. 164"
}

***

Version b
{
  "formula": "NdPu2Hg3",
  "functional": "PBE",
  "state": "relaxed",
  "lattice": [[3.3814, 0.0000, 0.0000], [0.0000, 3.3814, 0.0000], [0.0000, 0.0000, 13.7141]],
  "species": ["Hg", "Hg", "Hg", "Pu", "Pu", "Nd"],
  "fractional_positions": [[0.0000, 0.0000, 0.3314], [0.0000, 0.0000, 0.6686], [0.0000, 0.0000, 0.0000], [0.5000, 0.5000, 0.8338], [0.5000, 0.5000, 0.1662], [0.5000, 0.5000, 0.5000]],
  "n_ef_per_ev_cell": 15.860,
  "spacegroup": "No. 123"
}

***

Which of them is the most stable? Correct choice: version a.